Density functional theory data (GGA-PBE) for an optimized crystal structure of NdDy5Tm.

Calculated values
- Space group: Immm
- Formation energy: 1086 meV per atom
- Crystal system: orthorhombic
- Magnetization: 0.00 Bohr magnetons per cell

The structure in POSCAR format:
```
NdDy5Tm
1.0
5.762 0.000 0.000
2.881 7.336 0.516
2.881 1.820 7.126
Dy Nd Tm
5 1 1
direct
0.000 0.500 0.500 Dy
0.745 0.255 0.255 Dy
0.255 0.745 0.745 Dy
0.500 0.823 0.177 Dy
0.500 0.177 0.823 Dy
0.500 0.500 0.500 Nd
0.000 0.000 0.000 Tm
```